(1)
A plane-wave DFT calculation with GGA-PBE was carried out for a geometry-optimized TlHgAu structure.

Cell and atoms, written as POSCAR:
```
TlHgAu
1.0
-3.702 -1.749 0.897
2.234 -2.288 -4.837
4.838 -3.190 4.001
Tl Hg Au
2 2 2
direct
0.238 0.818 0.160 Tl
0.762 0.182 0.840 Tl
0.103 0.259 0.446 Hg
0.897 0.741 0.554 Hg
0.524 0.379 0.172 Au
0.476 0.621 0.828 Au
```

## Properties
Space-group type: P-1 (2)
E_tot in eV/atom: -2.007

(2)
A plane-wave DFT calculation with GGA-PBE was carried out for a geometry-optimized TlHgAu structure.

Cell and atoms, written as POSCAR:
```
TlHgAu
1.0
0.000 3.455 3.455
3.455 0.000 3.455
3.455 3.455 0.000
Au Tl Hg
1 1 1
direct
0.250 0.250 0.250 Au
0.000 0.000 0.000 Tl
0.750 0.750 0.750 Hg
```

## Properties
Space-group type: F-43m (216)
E_tot in eV/atom: -1.785

(3)
A plane-wave DFT calculation with GGA-PBE was carried out for a geometry-optimized Tm3Hg2Au structure.

Cell and atoms, written as POSCAR:
```
Tm3Hg2Au
1.0
3.610 0.000 0.000
0.000 3.610 0.000
0.000 0.000 10.949
Tm Hg Au
3 2 1
direct
0.000 0.000 0.000 Tm
0.000 0.000 0.344 Tm
0.000 0.000 0.656 Tm
0.500 0.500 0.167 Hg
0.500 0.500 0.833 Hg
0.500 0.500 0.500 Au
```

## Properties
Space-group type: P4/mmm (123)
Total moment in μB/f.u.: 0.02
Energy of formation from the pure elements in eV/atom: -0.6197

(4)
A plane-wave DFT calculation with GGA-PBE was carried out for a geometry-optimized YTmHg2Au4 structure.

Cell and atoms, written as POSCAR:
```
YTmHg2Au4
1.0
4.909 0.000 0.000
0.000 4.909 0.000
0.000 0.000 6.958
Hg Au Y Tm
2 4 1 1
direct
0.500 0.500 0.000 Hg
0.000 0.000 0.500 Hg
0.000 0.500 0.755 Au
0.500 0.000 0.245 Au
0.500 0.000 0.755 Au
0.000 0.500 0.245 Au
0.500 0.500 0.500 Y
0.000 0.000 0.000 Tm
```

## Properties
Space-group type: P4/mmm (123)
Total moment in μB/f.u.: 0.00
Energy of formation from the pure elements in eV/atom: -0.5944